Entry 1:
The following is a DFT calculation (GGA-PBE) of a relaxed structure of Mg4ZrBr.

POSCAR file:
```
Mg4ZrBr
1.0
-2.9159 -4.9995 -1.2060
-5.1425 0.2056 -2.9093
-0.3271 -1.9618 -5.5674
Br Mg Zr
1 4 1
direct
0.0000 0.0000 0.0000
0.3772 0.8685 0.3772
0.8685 0.3772 0.3772
0.3772 0.3772 0.3772
0.3772 0.3772 0.8685
0.7500 0.7500 0.7500
```

Properties
* raw formation energy: 219 meV per atom

---

Entry 2:
The following is a DFT calculation (GGA-PBE) of a relaxed structure of ZrTePt2.

POSCAR file:
```
ZrTePt2
1.0
5.1538 -0.0118 0.0181
3.7996 3.4820 0.0181
0.7075 0.2742 4.4764
Pt Zr Te
2 1 1
direct
0.2766 0.2766 0.1969
0.0121 0.0121 0.0026
0.7301 0.7301 0.7869
0.4812 0.4812 0.5136
```

Properties
* raw formation energy: -510 meV per atom

---

Entry 3:
The following is a DFT calculation (GGA-PBE) of a relaxed structure of MnFeBr2.

POSCAR file:
```
MnFeBr2
1.0
0.0000 3.1794 3.1794
3.1794 0.0000 3.1794
3.1794 3.1794 0.0000
Br Fe Mn
2 1 1
direct
0.7500 0.7500 0.7500
0.2500 0.2500 0.2500
0.5000 0.5000 0.5000
0.0000 0.0000 0.0000
```

Properties
* excess energy over the best structure of this formula in the dataset: 3.80 eV per formula unit
* raw formation energy: 900 meV per atom

---

Entry 4:
The following is a DFT calculation (GGA-PBE) of a relaxed structure of La3Pm6Pr2Sm.

POSCAR file:
```
La3Pm6Pr2Sm
1.0
-3.7047 -2.9106 -4.3225
5.8093 2.0969 -1.6542
3.9959 -10.3142 5.1085
Pr Pm Sm La
2 6 1 3
direct
0.3333 0.6667 0.0000
0.6667 0.3333 0.0000
0.2503 0.2503 0.7517
0.4152 0.0824 0.2483
0.9176 0.5848 0.7517
0.5848 0.9176 0.7517
0.7497 0.7497 0.2483
0.0824 0.4152 0.2483
0.0000 0.0000 0.0000
0.5000 0.5000 0.5000
0.8332 0.1668 0.5000
0.1668 0.8332 0.5000
```

Properties
* energy relative to the elements: 14 meV per atom

---

Entry 5:
The following is a DFT calculation (GGA-PBE) of a relaxed structure of ThHAu.

POSCAR file:
```
ThHAu
1.0
0.2804 1.8854 -3.4596
-4.1375 -1.1586 -0.9667
-2.2280 4.2626 4.4263
Th H Au
2 2 2
direct
0.9668 0.6155 0.3934
0.2633 0.1155 0.9923
0.8710 0.1155 0.2045
0.3591 0.6155 0.1811
0.5451 0.1155 0.5481
0.6849 0.6155 0.8376
```

Properties
* excess energy over the best structure of this formula in the dataset: 0.00 eV per formula unit

---

Entry 6:
The following is a DFT calculation (GGA-PBE) of a relaxed structure of Pr2LuGe.

POSCAR file:
```
Pr2LuGe
1.0
4.7937 0.0000 0.0000
0.0000 4.7757 0.0000
0.0000 0.0000 4.7757
Ge Lu Pr
1 1 2
direct
0.5000 0.5000 0.5000
0.5000 0.0000 0.0000
0.0000 0.0000 0.5000
0.0000 0.5000 0.0000
```

Properties
* excess energy over the best structure of this formula in the dataset: 0.00 eV per formula unit
* energy relative to the elements: -260 meV per atom

---

Entry 7:
The following is a DFT calculation (GGA-PBE) of a relaxed structure of PtWAu2.

POSCAR file:
```
PtWAu2
1.0
-1.5029 -1.6861 1.7468
1.9869 0.3265 2.0246
-3.9896 6.5226 2.8634
W Au Pt
1 2 1
direct
0.5000 0.5000 0.7500
0.0000 0.0000 0.5039
0.0000 0.0000 0.9961
0.5000 0.5000 0.2500
```

Properties
* excess energy over the best structure of this formula in the dataset: 0.87 eV per formula unit
* energy relative to the elements: 217 meV per atom

---

For each record above, in turn, the calculated VASP energy values are -2.547, -6.453, -4.344, -4.783, -5.327, -4.934, -6.170 eV/atom.